# 1
Below is a relaxed structure of Ba3La2C5O15F2, with properties calculated at the PBE level.

Its raw total energy is -7.649 eV/atom. The theoretical density comes out at 4.541 g cm⁻³.

a = 11.157 Å, b = 11.157 Å, c = 13.462 Å
α = 94.70°, β = 94.70°, γ = 26.76°
Fractional positions:
Ba1 0.000 0.000 0.000
Ba2 0.186 0.186 0.595
Ba3 0.307 0.307 0.900
Ba4 0.500 0.500 0.500
Ba5 0.693 0.693 0.100
Ba6 0.814 0.814 0.405
La1 0.100 0.100 0.315
La2 0.395 0.395 0.212
La3 0.605 0.605 0.788
La4 0.900 0.900 0.685
C1 0.041 0.041 0.700
C2 0.150 0.150 0.960
C3 0.254 0.254 0.225
C4 0.339 0.339 0.597
C5 0.452 0.452 0.853
C6 0.548 0.548 0.147
C7 0.661 0.661 0.403
C8 0.746 0.746 0.775
C9 0.850 0.850 0.040
C10 0.959 0.959 0.300
O1 0.068 0.501 0.225
O2 0.092 0.530 0.583
O3 0.096 0.661 0.059
O4 0.099 0.099 0.733
O5 0.194 0.194 0.221
O6 0.204 0.640 0.841
O7 0.205 0.205 0.003
O8 0.205 0.770 0.314
O9 0.230 0.795 0.686
O10 0.339 0.904 0.941
O11 0.360 0.796 0.159
O12 0.397 0.397 0.631
O13 0.470 0.908 0.417
O14 0.490 0.490 0.115
O15 0.499 0.932 0.775
O16 0.501 0.068 0.225
O17 0.510 0.510 0.885
O18 0.530 0.092 0.583
O19 0.603 0.603 0.369
O20 0.640 0.204 0.841
O21 0.661 0.096 0.059
O22 0.770 0.205 0.314
O23 0.795 0.230 0.686
O24 0.795 0.795 0.997
O25 0.796 0.360 0.159
O26 0.806 0.806 0.779
O27 0.901 0.901 0.267
O28 0.904 0.339 0.941
O29 0.908 0.470 0.417
O30 0.932 0.499 0.775
F1 0.074 0.074 0.483
F2 0.375 0.375 0.385
F3 0.625 0.625 0.615
F4 0.926 0.926 0.517



# 2
Below is a relaxed structure of Ba4MgC4N8F2, with properties calculated at the PBE level.

Its raw total energy is -7.374 eV/atom. The theoretical density comes out at 4.326 g cm⁻³.

a = 8.515 Å, b = 8.637 Å, c = 8.533 Å
α = 90.00°, β = 109.27°, γ = 90.00°
Fractional positions:
Ba1 0.210 0.168 0.087
Ba2 0.210 0.332 0.587
Ba3 0.246 0.673 0.244
Ba4 0.246 0.827 0.744
Ba5 0.754 0.173 0.256
Ba6 0.754 0.327 0.756
Ba7 0.790 0.668 0.413
Ba8 0.790 0.832 0.913
Mg1 0.500 0.000 0.500
Mg2 0.500 0.500 0.000
C1 0.077 0.555 0.841
C2 0.077 0.945 0.341
C3 0.492 0.144 0.854
C4 0.492 0.356 0.354
C5 0.508 0.644 0.646
C6 0.508 0.856 0.146
C7 0.923 0.055 0.659
C8 0.923 0.445 0.159
N1 0.064 0.110 0.731
N2 0.064 0.390 0.231
N3 0.219 0.504 0.909
N4 0.219 0.996 0.409
N5 0.485 0.247 0.952
N6 0.485 0.253 0.452
N7 0.499 0.543 0.746
N8 0.499 0.957 0.246
N9 0.501 0.043 0.754
N10 0.501 0.457 0.254
N11 0.515 0.747 0.548
N12 0.515 0.753 0.048
N13 0.781 0.004 0.591
N14 0.781 0.496 0.091
N15 0.936 0.610 0.769
N16 0.936 0.890 0.269
F1 0.130 0.631 0.503
F2 0.130 0.869 0.003
F3 0.870 0.131 0.997
F4 0.870 0.369 0.497



# 3
Below is a relaxed structure of Ba6MgSc2C2O6F14, with properties calculated at the PBE level.

The theoretical density comes out at 4.165 g cm⁻³. The energy above the most stable polymorph in this dataset comes out at 0.1315 eV/atom.

a = 9.138 Å, b = 9.138 Å, c = 6.425 Å
α = 94.73°, β = 94.73°, γ = 81.89°
Fractional positions:
Ba1 0.104 0.664 0.748
Ba2 0.336 0.896 0.252
Ba3 0.354 0.354 0.383
Ba4 0.646 0.646 0.617
Ba5 0.664 0.104 0.748
Ba6 0.896 0.336 0.252
Mg1 0.500 0.500 0.000
Sc1 0.214 0.214 0.819
Sc2 0.786 0.786 0.181
C1 0.020 0.020 0.769
C2 0.980 0.980 0.231
O1 0.023 0.837 0.203
O2 0.072 0.072 0.284
O3 0.163 0.977 0.797
O4 0.837 0.023 0.203
O5 0.928 0.928 0.716
O6 0.977 0.163 0.797
F1 0.106 0.372 0.589
F2 0.139 0.371 0.063
F3 0.336 0.664 0.000
F4 0.347 0.653 0.500
F5 0.371 0.139 0.063
F6 0.372 0.106 0.589
F7 0.373 0.373 0.812
F8 0.627 0.627 0.188
F9 0.628 0.894 0.411
F10 0.629 0.861 0.937
F11 0.653 0.347 0.500
F12 0.664 0.336 0.000
F13 0.861 0.629 0.937
F14 0.894 0.628 0.411



# 4
Below is a relaxed structure of Ba6MgSc2C2O6F14, with properties calculated at the PBE level.

The theoretical density comes out at 4.288 g cm⁻³. The energy above the most stable polymorph in this dataset comes out at 0.1306 eV/atom.

a = 6.294 Å, b = 9.082 Å, c = 9.082 Å
α = 81.08°, β = 90.00°, γ = 90.00°
Fractional positions:
Ba1 0.000 0.000 0.000
Ba2 0.000 0.050 0.493
Ba3 0.000 0.493 0.050
Ba4 0.500 0.259 0.757
Ba5 0.500 0.757 0.259
Ba6 0.500 0.818 0.818
Mg1 0.500 0.597 0.597
Sc1 0.000 0.614 0.614
Sc2 0.500 0.173 0.173
C1 0.000 0.416 0.416
C2 0.500 0.367 0.367
O1 0.000 0.322 0.322
O2 0.000 0.371 0.561
O3 0.000 0.561 0.371
O4 0.500 0.223 0.413
O5 0.500 0.413 0.223
O6 0.500 0.462 0.462
F1 0.000 0.764 0.764
F2 0.240 0.044 0.739
F3 0.240 0.739 0.044
F4 0.258 0.008 0.257
F5 0.258 0.257 0.008
F6 0.292 0.533 0.752
F7 0.292 0.752 0.533
F8 0.500 0.009 0.009
F9 0.708 0.533 0.752
F10 0.708 0.752 0.533
F11 0.742 0.008 0.257
F12 0.742 0.257 0.008
F13 0.760 0.044 0.739
F14 0.760 0.739 0.044



# 5
Below is a relaxed structure of Ba6MgSc2C2O6F14, with properties calculated at the PBE level.

The theoretical density comes out at 4.501 g cm⁻³. The energy above the most stable polymorph in this dataset comes out at 0.0000 eV/atom.

a = 8.955 Å, b = 8.955 Å, c = 6.133 Å
α = 90.08°, β = 90.08°, γ = 83.34°
Fractional positions:
Ba1 0.097 0.097 0.262
Ba2 0.170 0.608 0.238
Ba3 0.392 0.830 0.762
Ba4 0.591 0.132 0.189
Ba5 0.868 0.409 0.811
Ba6 0.903 0.903 0.738
Mg1 0.580 0.420 0.500
Sc1 0.276 0.296 0.767
Sc2 0.704 0.724 0.233
C1 0.482 0.485 0.876
C2 0.515 0.518 0.124
O1 0.327 0.525 0.835
O2 0.435 0.427 0.257
O3 0.475 0.673 0.165
O4 0.510 0.330 0.815
O5 0.573 0.565 0.743
O6 0.670 0.490 0.185
F1 0.084 0.148 0.696
F2 0.121 0.350 0.029
F3 0.124 0.414 0.558
F4 0.140 0.860 0.000
F5 0.159 0.841 0.500
F6 0.336 0.108 0.977
F7 0.359 0.162 0.509
F8 0.586 0.876 0.442
F9 0.650 0.879 0.971
F10 0.744 0.256 0.500
F11 0.838 0.641 0.491
F12 0.850 0.150 0.000
F13 0.852 0.916 0.304
F14 0.892 0.664 0.023



# 6
Below is a relaxed structure of Ba6MgSc2C2O6F14, with properties calculated at the PBE level.

The theoretical density comes out at 4.233 g cm⁻³. The energy above the most stable polymorph in this dataset comes out at 0.0950 eV/atom.

a = 9.139 Å, b = 6.279 Å, c = 9.158 Å
α = 90.00°, β = 98.72°, γ = 90.00°
Fractional positions:
Ba1 0.000 0.000 0.000
Ba2 0.052 0.000 0.460
Ba3 0.316 0.500 0.281
Ba4 0.519 0.000 0.953
Ba5 0.752 0.500 0.722
Ba6 0.818 0.500 0.208
Mg1 0.066 0.500 0.557
Sc1 0.182 0.500 0.876
Sc2 0.631 0.000 0.388
C1 0.412 0.500 0.687
C2 0.434 0.000 0.575
O1 0.267 0.500 0.679
O2 0.338 0.000 0.663
O3 0.396 0.000 0.430
O4 0.469 0.500 0.568
O5 0.487 0.500 0.817
O6 0.577 0.000 0.623
F1 0.009 0.500 0.984
F2 0.037 0.284 0.738
F3 0.037 0.716 0.738
F4 0.081 0.236 0.229
F5 0.081 0.764 0.229
F6 0.274 0.258 0.997
F7 0.274 0.742 0.997
F8 0.550 0.237 0.231
F9 0.550 0.763 0.231
F10 0.756 0.240 0.955
F11 0.756 0.760 0.955
F12 0.772 0.236 0.480
F13 0.772 0.764 0.480
F14 0.801 0.000 0.246



# 7
Below is a relaxed structure of Ba6MgSc2C2O6F14, with properties calculated at the PBE level.

The theoretical density comes out at 3.762 g cm⁻³. The energy above the most stable polymorph in this dataset comes out at 0.1004 eV/atom.

a = 9.009 Å, b = 5.960 Å, c = 10.922 Å
α = 90.00°, β = 94.59°, γ = 90.00°
Fractional positions:
Ba1 0.000 0.000 0.000
Ba2 0.005 0.500 0.311
Ba3 0.170 0.500 0.715
Ba4 0.450 0.000 0.903
Ba5 0.527 0.500 0.348
Ba6 0.815 0.000 0.538
Mg1 0.693 0.500 0.065
Sc1 0.220 0.000 0.425
Sc2 0.757 0.500 0.790
C1 0.451 0.000 0.599
C2 0.519 0.500 0.649
O1 0.315 0.000 0.632
O2 0.405 0.500 0.574
O3 0.467 0.000 0.481
O4 0.512 0.500 0.769
O5 0.565 0.000 0.679
O6 0.655 0.500 0.611
F1 0.048 0.000 0.264
F2 0.077 0.232 0.506
F3 0.077 0.768 0.506
F4 0.207 0.232 0.908
F5 0.207 0.768 0.908
F6 0.276 0.262 0.325
F7 0.276 0.738 0.325
F8 0.725 0.265 0.925
F9 0.725 0.735 0.925
F10 0.770 0.268 0.364
F11 0.770 0.732 0.364
F12 0.910 0.271 0.748
F13 0.910 0.729 0.748
F14 0.921 0.500 0.075



# 8
Below is a relaxed structure of Ba6MgSc2C2O6F14, with properties calculated at the PBE level.

The theoretical density comes out at 4.197 g cm⁻³. The energy above the most stable polymorph in this dataset comes out at 0.0840 eV/atom.

a = 6.668 Å, b = 8.834 Å, c = 9.004 Å
α = 97.54°, β = 94.32°, γ = 91.55°
Fractional positions:
Ba1 0.000 0.000 0.000
Ba2 0.016 0.059 0.485
Ba3 0.153 0.497 0.929
Ba4 0.475 0.839 0.213
Ba5 0.496 0.754 0.700
Ba6 0.551 0.315 0.261
Mg1 0.669 0.531 0.983
Sc1 0.037 0.636 0.353
Sc2 0.542 0.160 0.812
C1 0.033 0.443 0.553
C2 0.532 0.369 0.625
O1 0.046 0.345 0.645
O2 0.106 0.583 0.587
O3 0.498 0.402 0.769
O4 0.537 0.472 0.540
O5 0.558 0.225 0.581
O6 0.950 0.408 0.415
F1 0.053 0.798 0.199
F2 0.252 0.789 0.926
F3 0.255 0.099 0.254
F4 0.256 0.810 0.455
F5 0.282 0.545 0.262
F6 0.301 0.027 0.715
F7 0.331 0.227 0.970
F8 0.590 0.992 0.955
F9 0.762 0.012 0.715
F10 0.764 0.064 0.250
F11 0.785 0.275 0.944
F12 0.794 0.764 0.420
F13 0.824 0.660 0.865
F14 0.889 0.517 0.154



Question: Look up the theoretical density of the second one.
Answer: 4.326 g cm⁻³



Please write out number 4 again, unchanged.
Below is a relaxed structure of Ba6MgSc2C2O6F14, with properties calculated at the PBE level.

The theoretical density comes out at 4.288 g cm⁻³. The energy above the most stable polymorph in this dataset comes out at 0.1306 eV/atom.

a = 6.294 Å, b = 9.082 Å, c = 9.082 Å
α = 81.08°, β = 90.00°, γ = 90.00°
Fractional positions:
Ba1 0.000 0.000 0.000
Ba2 0.000 0.050 0.493
Ba3 0.000 0.493 0.050
Ba4 0.500 0.259 0.757
Ba5 0.500 0.757 0.259
Ba6 0.500 0.818 0.818
Mg1 0.500 0.597 0.597
Sc1 0.000 0.614 0.614
Sc2 0.500 0.173 0.173
C1 0.000 0.416 0.416
C2 0.500 0.367 0.367
O1 0.000 0.322 0.322
O2 0.000 0.371 0.561
O3 0.000 0.561 0.371
O4 0.500 0.223 0.413
O5 0.500 0.413 0.223
O6 0.500 0.462 0.462
F1 0.000 0.764 0.764
F2 0.240 0.044 0.739
F3 0.240 0.739 0.044
F4 0.258 0.008 0.257
F5 0.258 0.257 0.008
F6 0.292 0.533 0.752
F7 0.292 0.752 0.533
F8 0.500 0.009 0.009
F9 0.708 0.533 0.752
F10 0.708 0.752 0.533
F11 0.742 0.008 0.257
F12 0.742 0.257 0.008
F13 0.760 0.044 0.739
F14 0.760 0.739 0.044



Question: The highest theoretical density belongs to which entry?
Answer: Ba3La2C5O15F2



Question: Which value of theoretical density does entry 6 give?
Answer: 4.233 g cm⁻³